Record 1
Computed, not measured: PrTmCuAu after structural relaxation at the PBE level of DFT.

Unit cell a=5.095 b=5.095 c=5.095 alpha=60.00 beta=60.00 gamma=60.00
Element x y z (fractional)
Pr 0.500 0.500 0.500
Tm 0.000 0.000 0.000
Au 0.750 0.750 0.750
Cu 0.250 0.250 0.250

## Properties
- energy above the most stable polymorph in this dataset (meV per atom) = 32.8
- final energy (eV per atom) = -4.634
- mass density (Mg/m³) = 10.13
- formation energy from the elements (eV/atom) = -0.478
- space-group type = No. 216


Record 2
Computed, not measured: AlRh2 after structural relaxation at the PBE level of DFT.

Unit cell a=12.022 b=12.022 c=12.022 alpha=161.77 beta=161.77 gamma=25.89
Element x y z (fractional)
Rh 0.249 0.249 0.000
Rh 0.751 0.751 0.000
Rh 0.499 0.999 0.500
Rh 0.001 0.501 0.500
Rh 0.414 0.414 0.000
Rh 0.586 0.586 0.000
Rh 0.664 0.164 0.500
Rh 0.836 0.336 0.500
Al 0.078 0.078 0.000
Al 0.922 0.922 0.000
Al 0.328 0.828 0.500
Al 0.172 0.672 0.500

## Properties
- final energy (eV per atom) = -6.701
- mass density (Mg/m³) = 9.10
- formation energy from the elements (eV/atom) = -0.553
- space-group type = No. 141